Here is a relaxed NpGa2BiO8 crystal from Alexandria via LeMat-Bulk. Energies are from GGA-PBE.

Output
- SG: C2/m (12)
- Formation energy from raw total energies: -1.878 eV per atom

The structure in POSCAR format:
```
NpGa2BiO8
1.0
4.835 0.299 0.221
0.344 4.832 0.220
0.335 0.334 7.147
O Np Ga Bi
8 1 2 1
Cartesian
3.680 3.646 3.912
4.082 1.494 5.755
3.856 3.820 0.714
1.431 3.970 1.833
1.657 1.644 6.874
3.982 1.394 1.834
1.834 1.818 3.676
1.531 4.070 5.754
0.000 0.000 0.000
2.622 2.599 5.205
2.892 2.865 2.383
0.167 0.167 3.574
```



Here is a relaxed Tb7YEr2 crystal from Alexandria via LeMat-Bulk. Energies are from GGA-PBE.

Output
- SG: Cmmm (65)
- Formation enthalpy at 0 K: 0.687 eV per atom

The structure in POSCAR format:
```
Tb7YEr2
1.0
-0.653 0.393 5.381
8.477 -3.789 1.305
-1.659 9.187 -0.872
Tb Er Y
7 2 1
Cartesian
2.021 -0.299 3.012
4.143 6.090 2.803
3.082 2.895 2.907
6.392 -1.120 0.858
6.416 3.181 3.291
0.425 6.518 -0.424
-0.252 2.610 2.524
5.143 0.257 3.350
1.021 5.533 2.465
0.000 0.000 0.000
```



Here is a relaxed K2Pa2Se5 crystal from Alexandria via LeMat-Bulk. Energies are from GGA-PBE.

Output
- SG: C2/m (12)
- Formation energy from raw total energies: -1.337 eV per atom

The structure in POSCAR format:
```
K2Pa2Se5
1.0
5.650 0.000 0.000
-2.825 7.292 -2.053
0.000 -3.187 8.032
Se K Pa
5 2 2
Cartesian
0.000 0.000 0.000
2.825 3.985 2.392
2.825 -0.678 6.508
0.000 4.782 -0.529
0.000 0.119 3.587
0.000 3.223 4.191
2.825 0.881 1.788
0.000 -1.015 6.144
2.825 5.119 -0.165
```



Here is a relaxed K3Rb7Au2 crystal from Alexandria via LeMat-Bulk. Energies are from GGA-PBE.

Output
- SG: Cmmm (65)
- Formation enthalpy at 0 K: -0.080 eV per atom

The structure in POSCAR format:
```
K3Rb7Au2
1.0
-1.002 5.652 -1.938
-3.455 1.178 5.221
17.965 5.504 6.759
K Rb Au
3 7 2
Cartesian
-2.229 3.415 1.641
9.733 3.652 5.616
4.777 3.030 6.364
6.114 5.308 2.848
2.795 4.063 0.933
13.019 4.885 7.512
10.713 8.271 9.109
0.000 0.000 0.000
7.394 7.026 7.194
1.491 1.797 4.468
10.728 7.039 5.511
2.780 5.294 4.532
```



Here is a relaxed CePr6Dy12 crystal from Alexandria via LeMat-Bulk. Energies are from GGA-PBE.

Output
- SG: R-3m (166)
- Formation enthalpy at 0 K: 0.216 eV per atom

The structure in POSCAR format:
```
CePr6Dy12
1.0
8.695 -0.181 -1.219
-1.376 8.588 -1.219
-0.158 -0.181 8.779
Dy Pr Ce
12 6 1
Cartesian
2.573 2.956 -0.165
1.323 4.113 5.720
1.012 6.349 3.171
4.254 7.672 3.767
3.270 6.349 0.621
7.014 5.269 3.767
3.891 1.876 5.720
4.588 5.269 6.506
6.149 1.876 3.171
2.907 0.553 2.574
0.148 2.956 2.574
5.838 4.113 0.621
7.231 2.602 6.403
5.579 0.705 -0.061
1.583 7.520 6.403
0.614 0.705 5.545
-0.069 5.623 -0.061
6.547 7.520 0.796
0.000 0.000 0.000
```



Here is a relaxed Cu3N crystal from Alexandria via LeMat-Bulk. Energies are from GGA-PBE.

Output
- SG: P4/mmm (123)
- Formation energy from raw total energies: 0.616 eV per atom

The structure in POSCAR format:
```
Cu3N
1.0
-3.169 1.795 -0.667
0.643 -0.217 -3.640
-3.590 -6.433 -0.252
N Cu
2 6
Cartesian
-1.795 -3.216 -0.126
0.000 0.000 0.000
-1.878 -0.313 -2.196
-3.380 -2.319 -0.459
-0.855 -1.532 -0.060
-1.474 -3.325 -1.946
-4.238 -4.542 -2.362
-2.735 -4.901 -0.192
```



Here is a relaxed PmNiGe2 crystal from Alexandria via LeMat-Bulk. Energies are from GGA-PBE.

Output
- SG: Pnma (62)
- Formation enthalpy at 0 K: -0.716 eV per atom

The structure in POSCAR format:
```
PmNiGe2
1.0
-2.965 1.968 -2.214
-4.143 -0.027 5.523
3.893 9.200 2.965
Ni Pm Ge
4 4 8
Cartesian
1.698 6.351 1.389
0.507 8.419 4.821
-4.912 4.790 4.886
-3.722 2.722 1.453
-3.658 1.662 4.392
0.443 9.479 1.883
-2.566 7.250 3.931
-0.649 3.891 2.344
-2.179 3.000 -0.365
-0.652 6.684 0.865
-1.919 1.095 1.560
-1.295 10.046 4.715
-3.597 4.531 2.894
-2.562 4.457 5.410
-1.035 8.141 6.640
0.382 6.610 3.380
```



Here is a relaxed LaPr4Er2Tm2 crystal from Alexandria via LeMat-Bulk. Energies are from GGA-PBE.

Output
- SG: C2/m (12)
- Formation enthalpy at 0 K: 0.025 eV per atom

The structure in POSCAR format:
```
LaPr4Er2Tm2
1.0
-0.111 -4.481 2.456
6.734 0.291 -4.485
1.635 3.779 6.970
Tm Er Pr La
2 2 4 1
Cartesian
4.417 -1.283 -2.141
3.841 0.871 7.082
5.676 -2.498 1.017
2.582 2.086 3.924
7.050 0.784 1.749
3.526 0.377 0.847
1.208 -1.195 3.192
4.733 -0.789 4.094
0.000 0.000 0.000
```



Here is a relaxed LaPrTePb crystal from Alexandria via LeMat-Bulk. Energies are from GGA-PBE.

Output
- SG: R3m (160)
- Formation energy from raw total energies: -1.076 eV per atom

The structure in POSCAR format:
```
LaPrTePb
1.0
4.621 0.000 0.000
2.310 4.002 0.000
2.310 1.334 7.533
La Pb Pr Te
1 1 1 1
Cartesian
6.931 4.002 1.221
6.931 4.002 6.894
4.621 2.668 5.075
2.310 1.334 3.163
```



Here is a relaxed HoEr6Sc3 crystal from Alexandria via LeMat-Bulk. Energies are from GGA-PBE.

Output
- SG: Cmc2_1 (36)
- Formation enthalpy at 0 K: 0.166 eV per atom

The structure in POSCAR format:
```
HoEr6Sc3
1.0
6.090 0.000 0.000
0.000 10.435 -1.675
0.000 -3.961 9.798
Er Ho Sc
12 2 6
Cartesian
5.216 7.859 3.804
5.347 -3.280 9.256
1.011 6.107 1.775
5.216 4.519 -0.386
0.189 4.881 4.966
4.056 0.367 6.349
3.235 1.593 3.158
2.171 1.955 8.510
3.235 3.752 5.866
2.302 9.754 -1.132
2.171 -1.385 4.319
0.189 2.723 2.257
1.132 -0.946 7.395
4.177 7.420 0.728
5.695 3.657 7.898
2.650 6.882 5.327
0.671 1.603 5.364
5.695 -0.408 2.796
2.650 2.817 0.226
3.716 4.871 2.759
```



Here is a relaxed AcCdIr crystal from Alexandria via LeMat-Bulk. Energies are from GGA-PBE.

Output
- SG: Cmcm (63)
- Formation enthalpy at 0 K: -0.473 eV per atom

The structure in POSCAR format:
```
AcCdIr
1.0
-1.827 1.872 3.329
0.192 -3.623 2.143
7.931 4.088 2.055
Cd Ac Ir
2 2 2
Cartesian
2.968 -0.399 3.201
3.327 2.736 4.326
0.173 1.842 3.098
6.123 0.495 4.429
0.385 -1.132 2.194
5.911 3.469 5.333
```



Here is a relaxed NbRu4 crystal from Alexandria via LeMat-Bulk. Energies are from GGA-PBE.

Output
- SG: Pm-3m (221)
- Formation enthalpy at 0 K: 1.882 eV per atom

The structure in POSCAR format:
```
NbRu4
1.0
-2.002 -4.198 -0.143
1.602 -0.617 -4.325
3.883 -1.910 1.711
Ru Nb
4 1
Cartesian
0.000 0.000 0.000
-0.200 -2.408 -2.234
2.743 -1.264 -1.307
0.940 -3.054 0.784
1.741 -3.363 -1.378
```



| no. | size of the total moment (μB/atom) |
| --- | --- |
| 1 | 0.004 |
| 2 | 0.000 |
| 3 | 0.224 |
| 4 | 0.000 |
| 5 | 0.025 |
| 6 | 0.025 |
| 7 | 0.000 |
| 8 | 0.000 |
| 9 | 0.000 |
| 10 | 0.000 |
| 11 | 0.000 |
| 12 | 1.039 |